--- w ---
# Mn3ClF5 (PBE with a Hubbard U, optimized geometry)
# **Crystal system**: orthorhombic
data_Mn3ClF5
_space_group_name_H-M_alt 'C m m m'
_space_group_IT_number 65
_space_group_name_Hall '-C 2 2'
_cell_length_a 6.943
_cell_length_b 22.720
_cell_length_c 3.434
_cell_angle_alpha 90.00
_cell_angle_beta 90.00
_cell_angle_gamma 90.00
loop_
_atom_site_label
_atom_site_fract_x
_atom_site_fract_y
_atom_site_fract_z
Mn1 0.000 0.000 0.000
Mn2 0.000 0.160 0.500
Mn3 0.000 0.312 0.000
Mn4 0.000 0.500 0.500
Cl1 0.000 0.393 0.500
F1 0.000 0.063 0.500
F2 0.000 0.258 0.500
F3 0.190 0.173 0.000
F4 0.196 0.500 0.000



--- x ---
# Mn3ClF5 (PBE with a Hubbard U, optimized geometry)
# **Crystal system**: monoclinic
data_Mn3ClF5
_space_group_name_H-M_alt 'C 1 2/m 1'
_space_group_IT_number 12
_space_group_name_Hall '-C 2y'
_cell_length_a 10.303
_cell_length_b 6.949
_cell_length_c 8.384
_cell_angle_alpha 90.00
_cell_angle_beta 114.01
_cell_angle_gamma 90.00
loop_
_atom_site_label
_atom_site_fract_x
_atom_site_fract_y
_atom_site_fract_z
Mn1 0.000 0.000 0.000
Mn2 0.000 0.000 0.500
Mn3 0.139 0.500 0.201
Mn4 0.171 0.500 0.671
Cl1 0.126 0.000 0.814
F1 0.000 0.310 0.500
F2 0.074 0.500 0.862
F3 0.155 0.195 0.180
F4 0.233 0.000 0.524



The structure with the least stability is x.



--- w ---
# MnNClF2 (PBE with a Hubbard U, optimized geometry)
# **Crystal system**: tetragonal
data_MnNClF2
_space_group_name_H-M_alt 'P 4/m m m'
_space_group_IT_number 123
_space_group_name_Hall '-P 4 2'
_cell_length_a 3.863
_cell_length_b 3.863
_cell_length_c 4.528
_cell_angle_alpha 90.00
_cell_angle_beta 90.00
_cell_angle_gamma 90.00
loop_
_atom_site_label
_atom_site_fract_x
_atom_site_fract_y
_atom_site_fract_z
Mn1 0.000 0.000 0.000
N1 0.000 0.000 0.500
Cl1 0.500 0.500 0.500
F1 0.000 0.500 0.000



--- x ---
# MnNClF2 (PBE with a Hubbard U, optimized geometry)
# **Crystal system**: tetragonal
data_MnNClF2
_space_group_name_H-M_alt 'P 4/m m m'
_space_group_IT_number 123
_space_group_name_Hall '-P 4 2'
_cell_length_a 4.795
_cell_length_b 4.795
_cell_length_c 3.364
_cell_angle_alpha 90.00
_cell_angle_beta 90.00
_cell_angle_gamma 90.00
loop_
_atom_site_label
_atom_site_fract_x
_atom_site_fract_y
_atom_site_fract_z
Mn1 0.000 0.000 0.000
N1 0.500 0.500 0.000
Cl1 0.500 0.500 0.500
F1 0.000 0.500 0.500



The structure with the least stability is x.



--- w ---
# MnPCl2F (PBE with a Hubbard U, optimized geometry)
# **Crystal system**: tetragonal
data_MnPCl2F
_space_group_name_H-M_alt 'P 4/m m m'
_space_group_IT_number 123
_space_group_name_Hall '-P 4 2'
_cell_length_a 4.644
_cell_length_b 4.644
_cell_length_c 5.166
_cell_angle_alpha 90.00
_cell_angle_beta 90.00
_cell_angle_gamma 90.00
loop_
_atom_site_label
_atom_site_fract_x
_atom_site_fract_y
_atom_site_fract_z
Mn1 0.000 0.000 0.000
P1 0.000 0.000 0.500
Cl1 0.000 0.500 0.000
F1 0.500 0.500 0.500



--- x ---
# MnPCl2F (PBE with a Hubbard U, optimized geometry)
# **Crystal system**: tetragonal
data_MnPCl2F
_space_group_name_H-M_alt 'P 4/m m m'
_space_group_IT_number 123
_space_group_name_Hall '-P 4 2'
_cell_length_a 4.591
_cell_length_b 4.591
_cell_length_c 5.115
_cell_angle_alpha 90.00
_cell_angle_beta 90.00
_cell_angle_gamma 90.00
loop_
_atom_site_label
_atom_site_fract_x
_atom_site_fract_y
_atom_site_fract_z
Mn1 0.000 0.000 0.000
P1 0.000 0.000 0.500
Cl1 0.000 0.500 0.500
F1 0.500 0.500 0.000



The structure with the least stability is w.



--- w ---
# MnP2ClF (PBE with a Hubbard U, optimized geometry)
# **Crystal system**: tetragonal
data_MnP2ClF
_space_group_name_H-M_alt 'P 4/m m m'
_space_group_IT_number 123
_space_group_name_Hall '-P 4 2'
_cell_length_a 4.092
_cell_length_b 4.092
_cell_length_c 5.520
_cell_angle_alpha 90.00
_cell_angle_beta 90.00
_cell_angle_gamma 90.00
loop_
_atom_site_label
_atom_site_fract_x
_atom_site_fract_y
_atom_site_fract_z
Mn1 0.000 0.000 0.000
P1 0.000 0.500 0.500
Cl1 0.500 0.500 0.000
F1 0.500 0.500 0.500



--- x ---
# MnP2ClF (PBE with a Hubbard U, optimized geometry)
# **Crystal system**: tetragonal
data_MnP2ClF
_space_group_name_H-M_alt 'P 4/m m m'
_space_group_IT_number 123
_space_group_name_Hall '-P 4 2'
_cell_length_a 4.641
_cell_length_b 4.641
_cell_length_c 4.691
_cell_angle_alpha 90.00
_cell_angle_beta 90.00
_cell_angle_gamma 90.00
loop_
_atom_site_label
_atom_site_fract_x
_atom_site_fract_y
_atom_site_fract_z
Mn1 0.000 0.000 0.000
P1 0.000 0.500 0.000
Cl1 0.000 0.000 0.500
F1 0.500 0.500 0.500



The structure with the least stability is x.



--- w ---
# MoClF2 (PBE with a Hubbard U, optimized geometry)
# **Crystal system**: trigonal
data_MoClF2
_space_group_name_H-M_alt 'R -3 m'
_space_group_IT_number 166
_space_group_name_Hall '-R 3 2"'
_cell_length_a 2.8220
_cell_length_b 2.8220
_cell_length_c 29.6313
_cell_angle_alpha 90.00
_cell_angle_beta 90.00
_cell_angle_gamma 120.00
loop_
_atom_site_label
_atom_site_fract_x
_atom_site_fract_y
_atom_site_fract_z
Mo1 0.0000 0.0000 0.0000
Cl1 0.0000 0.0000 0.5000
F1 0.0000 0.0000 0.3834



--- x ---
# MoClF2 (PBE with a Hubbard U, optimized geometry)
# **Crystal system**: cubic
data_MoClF2
_space_group_name_H-M_alt 'F m -3 m'
_space_group_IT_number 225
_space_group_name_Hall '-F 4 2 3'
_cell_length_a 6.020
_cell_length_b 6.020
_cell_length_c 6.020
_cell_angle_alpha 90.00
_cell_angle_beta 90.00
_cell_angle_gamma 90.00
loop_
_atom_site_label
_atom_site_fract_x
_atom_site_fract_y
_atom_site_fract_z
Mo1 0.000 0.000 0.000
Cl1 0.000 0.000 0.500
F1 0.250 0.250 0.250



The structure with the least stability is x.



--- w ---
# MoClF3 (PBE with a Hubbard U, optimized geometry)
# **Crystal system**: monoclinic
data_MoClF3
_space_group_name_H-M_alt 'P 1 21/c 1'
_space_group_IT_number 14
_space_group_name_Hall '-P 2ybc'
_cell_length_a 8.510
_cell_length_b 5.168
_cell_length_c 11.981
_cell_angle_alpha 90.00
_cell_angle_beta 131.95
_cell_angle_gamma 90.00
loop_
_atom_site_label
_atom_site_fract_x
_atom_site_fract_y
_atom_site_fract_z
Mo1 0.239 0.009 0.364
Cl1 0.264 0.197 0.203
F1 0.008 0.240 0.806
F2 0.224 0.662 0.999
F3 0.496 0.724 0.953



--- x ---
# MoClF3 (PBE with a Hubbard U, optimized geometry)
# **Crystal system**: cubic
data_MoClF3
_space_group_name_H-M_alt 'P m -3 m'
_space_group_IT_number 221
_space_group_name_Hall '-P 4 2 3'
_cell_length_a 4.236
_cell_length_b 4.236
_cell_length_c 4.236
_cell_angle_alpha 90.00
_cell_angle_beta 90.00
_cell_angle_gamma 90.00
loop_
_atom_site_label
_atom_site_fract_x
_atom_site_fract_y
_atom_site_fract_z
Mo1 0.000 0.000 0.000
Cl1 0.500 0.500 0.500
F1 0.000 0.000 0.500



--- y ---
# MoClF3 (PBE with a Hubbard U, optimized geometry)
# **Crystal system**: tetragonal
data_MoClF3
_space_group_name_H-M_alt 'P 41'
_space_group_IT_number 76
_space_group_name_Hall 'P 4w'
_cell_length_a 5.873
_cell_length_b 5.873
_cell_length_c 10.075
_cell_angle_alpha 90.00
_cell_angle_beta 90.00
_cell_angle_gamma 90.00
loop_
_atom_site_label
_atom_site_fract_x
_atom_site_fract_y
_atom_site_fract_z
Mo1 0.135 0.637 0.000
Cl1 0.191 0.387 0.618
F1 0.048 0.208 0.341
F2 0.108 0.357 0.910
F3 0.303 0.445 0.149



The structure with the least stability is x.



--- w ---
# MoCl3F (PBE with a Hubbard U, optimized geometry)
# **Crystal system**: cubic
data_MoCl3F
_space_group_name_H-M_alt 'P m -3 m'
_space_group_IT_number 221
_space_group_name_Hall '-P 4 2 3'
_cell_length_a 4.929
_cell_length_b 4.929
_cell_length_c 4.929
_cell_angle_alpha 90.00
_cell_angle_beta 90.00
_cell_angle_gamma 90.00
loop_
_atom_site_label
_atom_site_fract_x
_atom_site_fract_y
_atom_site_fract_z
Mo1 0.000 0.000 0.000
Cl1 0.000 0.000 0.500
F1 0.500 0.500 0.500



--- x ---
# MoCl3F (PBE with a Hubbard U, optimized geometry)
# **Crystal system**: cubic
data_MoCl3F
_space_group_name_H-M_alt 'P m -3 m'
_space_group_IT_number 221
_space_group_name_Hall '-P 4 2 3'
_cell_length_a 4.709
_cell_length_b 4.709
_cell_length_c 4.709
_cell_angle_alpha 90.00
_cell_angle_beta 90.00
_cell_angle_gamma 90.00
loop_
_atom_site_label
_atom_site_fract_x
_atom_site_fract_y
_atom_site_fract_z
Mo1 0.000 0.000 0.000
Cl1 0.000 0.500 0.500
F1 0.500 0.500 0.500



The structure with the least stability is x.



--- w ---
# MoNClF2 (PBE with a Hubbard U, optimized geometry)
# **Crystal system**: tetragonal
data_MoNClF2
_space_group_name_H-M_alt 'P 4/m m m'
_space_group_IT_number 123
_space_group_name_Hall '-P 4 2'
_cell_length_a 4.849
_cell_length_b 4.849
_cell_length_c 3.375
_cell_angle_alpha 90.00
_cell_angle_beta 90.00
_cell_angle_gamma 90.00
loop_
_atom_site_label
_atom_site_fract_x
_atom_site_fract_y
_atom_site_fract_z
Mo1 0.000 0.000 0.000
N1 0.500 0.500 0.000
Cl1 0.500 0.500 0.500
F1 0.000 0.500 0.500



--- x ---
# MoNClF2 (PBE with a Hubbard U, optimized geometry)
# **Crystal system**: tetragonal
data_MoNClF2
_space_group_name_H-M_alt 'P 4/m m m'
_space_group_IT_number 123
_space_group_name_Hall '-P 4 2'
_cell_length_a 4.156
_cell_length_b 4.156
_cell_length_c 4.132
_cell_angle_alpha 90.00
_cell_angle_beta 90.00
_cell_angle_gamma 90.00
loop_
_atom_site_label
_atom_site_fract_x
_atom_site_fract_y
_atom_site_fract_z
Mo1 0.000 0.000 0.000
N1 0.000 0.000 0.500
Cl1 0.500 0.500 0.500
F1 0.000 0.500 0.000



The structure with the least stability is w.



--- w ---
# MoS2ClF (PBE with a Hubbard U, optimized geometry)
# **Crystal system**: tetragonal
data_MoS2ClF
_space_group_name_H-M_alt 'P 4/m m m'
_space_group_IT_number 123
_space_group_name_Hall '-P 4 2'
_cell_length_a 4.618
_cell_length_b 4.618
_cell_length_c 4.807
_cell_angle_alpha 90.00
_cell_angle_beta 90.00
_cell_angle_gamma 90.00
loop_
_atom_site_label
_atom_site_fract_x
_atom_site_fract_y
_atom_site_fract_z
Mo1 0.000 0.000 0.000
S1 0.000 0.500 0.000
Cl1 0.000 0.000 0.500
F1 0.500 0.500 0.500



--- x ---
# MoS2ClF (PBE with a Hubbard U, optimized geometry)
# **Crystal system**: tetragonal
data_MoS2ClF
_space_group_name_H-M_alt 'P 4/m m m'
_space_group_IT_number 123
_space_group_name_Hall '-P 4 2'
_cell_length_a 4.158
_cell_length_b 4.158
_cell_length_c 5.627
_cell_angle_alpha 90.00
_cell_angle_beta 90.00
_cell_angle_gamma 90.00
loop_
_atom_site_label
_atom_site_fract_x
_atom_site_fract_y
_atom_site_fract_z
Mo1 0.000 0.000 0.000
S1 0.000 0.500 0.500
Cl1 0.500 0.500 0.000
F1 0.500 0.500 0.500



The structure with the least stability is x.